1.
BeTlSb3 after structural relaxation. Source: Alexandria, functional PBE.

Cell: 5.078 5.078 5.078 Å, 90.00 90.00 90.00°
Atoms (fractional coordinates):
Be  0.000  0.000  0.000
Tl  0.500  0.500  0.500
Sb  0.000  0.000  0.500
Sb  0.000  0.500  0.000
Sb  0.500  0.000  0.000

Offset from the most stable computed form, meV/atom: 0.0
Raw formation energy, eV/atom: 0.383
Total magnetization, μB per formula unit: 0.0
DFT total energy, eV per atom: -3.309



2.
Pm2Tm3ScSe6 after structural relaxation. Source: Alexandria, functional PBE.

Cell: 9.085 9.085 8.181 Å, 103.48 103.48 25.66°
Atoms (fractional coordinates):
Pm  0.168  0.168  0.335
Pm  0.832  0.832  0.665
Tm  0.172  0.172  0.836
Tm  0.500  0.500  0.500
Tm  0.828  0.828  0.164
Sc  0.500  0.500  0.000
Se  0.005  0.005  0.758
Se  0.338  0.338  0.407
Se  0.338  0.338  0.930
Se  0.662  0.662  0.070
Se  0.662  0.662  0.593
Se  0.995  0.995  0.242

Raw formation energy, eV/atom: -1.699
Total magnetization, μB per formula unit: 0.0
DFT total energy, eV per atom: -5.879



3.
CrAgGeBr2 after structural relaxation. Source: Alexandria, functional PBE.

Cell: 5.229 5.229 5.401 Å, 90.00 90.00 90.00°
Atoms (fractional coordinates):
Cr  0.000  0.000  0.000
Ag  0.000  0.000  0.500
Ge  0.500  0.500  0.000
Br  0.000  0.500  0.500
Br  0.500  0.000  0.500

Raw formation energy, eV/atom: 0.760
Total magnetization, μB per formula unit: 4.6
DFT total energy, eV per atom: -3.327



4.
Y2CoPb2 after structural relaxation. Source: Alexandria, functional PBE.

Cell: 7.234 7.234 4.778 Å, 90.00 90.00 90.00°
Atoms (fractional coordinates):
Y  0.168  0.332  0.000
Y  0.332  0.832  0.000
Y  0.668  0.168  0.000
Y  0.832  0.668  0.000
Co  0.000  0.000  0.500
Co  0.500  0.500  0.500
Pb  0.150  0.650  0.500
Pb  0.350  0.150  0.500
Pb  0.650  0.850  0.500
Pb  0.850  0.350  0.500

Offset from the most stable computed form, meV/atom: 0.0
Total magnetization, μB per formula unit: 0.9
DFT formation energy, eV/atom: -0.177
DFT total energy, eV per atom: -5.667